This record from the Alexandria database describes an optimized crystal structure of Na2AlInH. The functional is PBE.

Output
The value obtained for the density of states at the Fermi level is 0.369 states/eV per atom. The calculation puts the magnetization at 0.00 μB per formula unit. The value obtained for the calculated total energy is -12.1 eV for the cell shown.

a b c (Å): 4.7301 4.7301 4.3050
angles (deg): 90.00 90.00 90.00
Last column: nearest neighbours and their distance in Å.
Space group P4/mmm (No. 123)
Inequivalent atoms, fractional coordinates:
Na1 0.0000 0.5000 0.0000 (multiplicity 2)  2 H 2.37
Al1 0.0000 0.0000 0.5000 (multiplicity 1)  2 H 2.15
In1 0.5000 0.5000 0.5000 (multiplicity 1)  8 Na 3.20, 4 Al 3.34
H1 0.0000 0.0000 0.0000 (multiplicity 1)  2 Al 2.15, 4 Na 2.37

---

This record from the Alexandria database describes an optimized crystal structure of Ba3Li2Ca2In4. The functional is PBE.

Output
The value obtained for the density of states at the Fermi level is 0.863 states/eV per atom. The calculation puts the magnetization at 0.00 μB per formula unit. The value obtained for the calculated total energy is -27.0 eV for the cell shown. For the formation energy, the calculation gives -2.46 eV per formula unit.

a b c (Å): 5.6283 5.6283 14.3304
angles (deg): 90.00 90.00 120.00
Last column: nearest neighbours and their distance in Å.
Space group P-3m1 (No. 164)
Inequivalent atoms, fractional coordinates:
Ba1 0.0000 0.0000 0.0000 (multiplicity 1)  6 Li 3.85, 2 Ba 3.87, 6 In 3.93
Ba2 0.0000 0.0000 0.2700 (multiplicity 2)  6 In 3.46-3.65, 3 Li 3.71, 1 Ba 3.87
Li1 0.3333 0.6667 0.1445 (multiplicity 2)  4 In 2.98-3.25
Ca1 0.3333 0.6667 0.5779 (multiplicity 2)  4 In 3.23-3.40
In1 0.3333 0.6667 0.3526 (multiplicity 2)  1 Li 2.98, 1 Ca 3.23
In2 0.3333 0.6667 0.8460 (multiplicity 2)  3 Li 3.25

---

This record from the Alexandria database describes an optimized crystal structure of AlPtW2. The functional is PBE.

Output
The value obtained for the density of states at the Fermi level is 0.539 states/eV per atom. The calculation puts the magnetization at 0.00 μB per formula unit. The value obtained for the calculated total energy is -36.5 eV for the cell shown. For the formation energy, the calculation gives -0.80 eV per formula unit.

a b c (Å): 2.7699 4.2961 5.3283
angles (deg): 90.00 98.75 90.00
Last column: nearest neighbours and their distance in Å.
Space group Pm (No. 6)
Inequivalent atoms, fractional coordinates:
Al1 0.0000 0.0000 0.0000 (multiplicity 1)  2 Pt 2.50, 1 W 2.66, 2 Al 2.77
Pt1 0.0592 0.5000 0.2426 (multiplicity 1)  2 Al 2.50, 2 Pt 2.77, 1 W 2.79
W1 0.3983 0.5000 0.7636 (multiplicity 1)  4 W 2.67-2.77, 3 Pt 2.79-2.91, 4 Al 2.80-2.89
W2 0.6275 0.0000 0.5100 (multiplicity 1)  1 Al 2.66, 4 W 2.67-2.77, 4 Pt 2.91-2.93